#one
First-principles (PBE) data for a relaxed structure of SiSe3O, as listed in the Alexandria database.

Cell: 4.5082 4.5082 4.5082 Å, 90.00 90.00 90.00°
Element x y z (fractional)
Si 0.0000 0.0000 0.0000
Se 0.0000 0.5000 0.5000
Se 0.5000 0.0000 0.5000
Se 0.5000 0.5000 0.0000
O 0.5000 0.5000 0.5000

Values from the calculation:
total moment	0.000	μB/atom
theoretical density	5.1	g cm⁻³

#two
First-principles (PBE) data for a relaxed structure of SiSe3O, as listed in the Alexandria database.

Cell: 4.7446 4.7446 4.7446 Å, 90.00 90.00 90.00°
Element x y z (fractional)
Si 0.0000 0.0000 0.0000
Se 0.0000 0.0000 0.5000
Se 0.0000 0.5000 0.0000
Se 0.5000 0.0000 0.0000
O 0.5000 0.5000 0.5000

Values from the calculation:
total moment	0.000	μB/atom
theoretical density	4.4	g cm⁻³

Unit: eV/atom. Relative energies: #one 0.000; #two 0.393.

#one
First-principles (PBE) data for a relaxed structure of SiSnSeO, as listed in the Alexandria database.

Cell: 3.5038 4.8668 6.5203 Å, 81.87 74.90 69.05°
Element x y z (fractional)
Si 0.0000 0.0000 0.0000
Sn 0.9038 0.4793 0.7027
Se 0.3991 0.9640 0.2450
O 0.2214 0.6873 0.8652

Values from the calculation:
total moment	0.000	μB/atom
theoretical density	4.0	g cm⁻³

#two
First-principles (PBE) data for a relaxed structure of SiSnSeO, as listed in the Alexandria database.

Cell: 5.7224 2.9076 6.1353 Å, 90.00 107.34 90.00°
Element x y z (fractional)
Si 0.0000 0.0000 0.0000
Sn 0.5933 0.0000 0.6254
Se 0.4234 0.0000 0.0086
O 0.0072 0.5000 0.1483

Values from the calculation:
total moment	0.000	μB/atom
theoretical density	4.1	g cm⁻³

#three
First-principles (PBE) data for a relaxed structure of SiSnSeO, as listed in the Alexandria database.

Cell: 5.8718 5.8718 5.7256 Å, 93.50 93.50 28.72°
Element x y z (fractional)
Si 0.0000 0.0000 0.0000
Sn 0.8077 0.8077 0.6830
Se 0.0066 0.0066 0.4195
O 0.5782 0.5782 0.9693

Values from the calculation:
total moment	0.000	μB/atom
theoretical density	4.2	g cm⁻³

#four
First-principles (PBE) data for a relaxed structure of SiSnSeO, as listed in the Alexandria database.

Cell: 5.0702 5.0702 5.5156 Å, 93.95 93.95 41.22°
Element x y z (fractional)
Si 0.0000 0.0000 0.0000
Sn 0.2210 0.2210 0.6672
Se 0.4960 0.4960 0.2894
O 0.8385 0.8385 0.8537

Values from the calculation:
total moment	0.000	μB/atom
theoretical density	4.3	g cm⁻³

Unit: eV/atom. Relative energies: #one 0.042; #two 0.006; #three 0.000; #four 0.024.

#one
First-principles (PBE) data for a relaxed structure of SiSnSeO, as listed in the Alexandria database.

Cell: 3.4828 4.9343 5.7279 Å, 99.25 105.02 92.78°
Element x y z (fractional)
Si 0.0000 0.0000 0.0000
Sn 0.9633 0.4589 0.3381
Se 0.3751 0.0171 0.7121
O 0.0274 0.7003 0.0797

Values from the calculation:
total moment	0.000	μB/atom
theoretical density	4.3	g cm⁻³

#two
First-principles (PBE) data for a relaxed structure of SiSnSeO, as listed in the Alexandria database.

Cell: 6.4366 6.4366 3.5735 Å, 91.06 91.06 31.73°
Element x y z (fractional)
Si 0.0000 0.0000 0.0000
Sn 0.6830 0.6830 0.4310
Se 0.3703 0.3703 0.9765
O 0.0436 0.0436 0.5080

Values from the calculation:
total moment	0.000	μB/atom
theoretical density	5.2	g cm⁻³

Unit: eV/atom. Relative energies: #one 0.000; #two 0.159.

#one
First-principles (PBE) data for a relaxed structure of Sm2SeO, as listed in the Alexandria database.

Cell: 6.9107 6.9107 6.9107 Å, 31.72 31.72 31.72°
Element x y z (fractional)
Sm 0.2323 0.2323 0.2323
Sm 0.7677 0.7677 0.7677
Se 0.0000 0.0000 0.0000
O 0.5000 0.5000 0.5000

Values from the calculation:
total moment	0.000	μB/atom
theoretical density	8.1	g cm⁻³

#two
First-principles (PBE) data for a relaxed structure of Sm2SeO, as listed in the Alexandria database.

Cell: 7.8680 6.3567 6.6759 Å, 90.00 92.40 90.00°
Element x y z (fractional)
Sm 0.0918 0.2400 0.4674
Sm 0.0918 0.2600 0.9674
Sm 0.3265 0.7418 0.4955
Sm 0.3265 0.7582 0.9955
Sm 0.6735 0.2418 0.0045
Sm 0.6735 0.2582 0.5045
Sm 0.9082 0.7400 0.0326
Sm 0.9082 0.7600 0.5326
Se 0.3795 0.1197 0.7377
Se 0.3795 0.3803 0.2377
Se 0.6205 0.6197 0.7623
Se 0.6205 0.8803 0.2623
O 0.1243 0.5802 0.7454
O 0.1243 0.9198 0.2454
O 0.8757 0.0802 0.7546
O 0.8757 0.4198 0.2546

Values from the calculation:
total moment	0.000	μB/atom
theoretical density	7.9	g cm⁻³

Unit: eV/atom. Relative energies: #one 0.000; #two 0.248.

#one
First-principles (PBE) data for a relaxed structure of SmSe2O8, as listed in the Alexandria database.

Cell: 6.6367 6.6367 6.6367 Å, 60.00 60.00 60.00°
Element x y z (fractional)
Sm 0.0000 0.0000 0.0000
Se 0.2500 0.2500 0.2500
Se 0.7500 0.7500 0.7500
O 0.1480 0.1480 0.1480
O 0.1480 0.1480 0.5561
O 0.1480 0.5561 0.1480
O 0.4439 0.8520 0.8520
O 0.5561 0.1480 0.1480
O 0.8520 0.4439 0.8520
O 0.8520 0.8520 0.4439
O 0.8520 0.8520 0.8520

Values from the calculation:
total moment	0.064	μB/atom
theoretical density	3.5	g cm⁻³

#two
First-principles (PBE) data for a relaxed structure of SmSe2O8, as listed in the Alexandria database.

Cell: 6.6121 7.1622 16.3666 Å, 90.00 90.00 90.00°
Element x y z (fractional)
Sm 0.1269 0.0073 0.2405
Sm 0.3731 0.9927 0.7405
Sm 0.6269 0.4927 0.7595
Sm 0.8731 0.5073 0.2595
Se 0.1249 0.7404 0.4434
Se 0.1639 0.4977 0.6869
Se 0.3361 0.5023 0.1869
Se 0.3751 0.2596 0.9434
Se 0.6249 0.7596 0.5566
Se 0.6639 0.0023 0.3131
Se 0.8361 0.9977 0.8131
Se 0.8751 0.2404 0.0566
O 0.0208 0.5635 0.3901
O 0.0243 0.9750 0.7442
O 0.0301 0.2838 0.9752
O 0.0873 0.7139 0.9259
O 0.1475 0.7277 0.9973
O 0.1468 0.9292 0.3829
O 0.1694 0.6858 0.2100
O 0.1810 0.3326 0.2314
O 0.3190 0.6674 0.7314
O 0.3306 0.3142 0.7100
O 0.3532 0.0708 0.8829
O 0.3525 0.2723 0.4973
O 0.4127 0.2861 0.4259
O 0.4699 0.7162 0.4752
O 0.4757 0.0250 0.2442
O 0.4792 0.4365 0.8901
O 0.5208 0.9365 0.6099
O 0.5243 0.5250 0.2558
O 0.5301 0.2162 0.0248
O 0.5873 0.7861 0.0741
O 0.6468 0.5708 0.6171
O 0.6475 0.7723 0.0027
O 0.6694 0.8142 0.7900
O 0.6810 0.1674 0.7686
O 0.8190 0.8326 0.2686
O 0.8306 0.1858 0.2900
O 0.8525 0.2277 0.5027
O 0.8532 0.4292 0.1171
O 0.9127 0.2139 0.5741
O 0.9699 0.7838 0.5248
O 0.9757 0.4750 0.7558
O 0.9792 0.0635 0.1099

Values from the calculation:
total moment	0.187	μB/atom
theoretical density	3.7	g cm⁻³

Unit: eV/atom. Relative energies: #one 0.063; #two 0.000.

#one
First-principles (PBE) data for a relaxed structure of Sn2SeO, as listed in the Alexandria database.

Cell: 6.7620 6.7620 6.7620 Å, 34.04 34.04 34.04°
Element x y z (fractional)
Sn 0.2339 0.2339 0.2339
Sn 0.7661 0.7661 0.7661
Se 0.0000 0.0000 0.0000
O 0.5000 0.5000 0.5000

Values from the calculation:
total moment	0.000	μB/atom
theoretical density	6.4	g cm⁻³

#two
First-principles (PBE) data for a relaxed structure of Sn2SeO, as listed in the Alexandria database.

Cell: 7.7877 7.7877 7.7877 Å, 137.37 137.37 61.88°
Element x y z (fractional)
Sn 0.0332 0.6250 0.9082
Sn 0.3750 0.2832 0.4082
Sn 0.7168 0.1250 0.0918
Sn 0.8750 0.9668 0.5918
Se 0.2500 0.7500 0.5000
Se 0.5000 0.5000 0.0000
O 0.0000 0.0000 0.0000
O 0.7500 0.2500 0.5000

Values from the calculation:
total moment	0.000	μB/atom
theoretical density	5.2	g cm⁻³

Unit: eV/atom. Relative energies: #one 0.000; #two 0.047.

#one
First-principles (PBE) data for a relaxed structure of SnSe2O, as listed in the Alexandria database.

Cell: 9.2351 9.2351 9.2351 Å, 19.39 19.39 19.39°
Element x y z (fractional)
Sn 0.0000 0.0000 0.0000
Se 0.1057 0.1057 0.1057
Se 0.8943 0.8943 0.8943
O 0.5000 0.5000 0.5000

Values from the calculation:
total moment	0.000	μB/atom
theoretical density	6.4	g cm⁻³

#two
First-principles (PBE) data for a relaxed structure of SnSe2O, as listed in the Alexandria database.

Cell: 4.6747 4.6747 4.6747 Å, 60.00 60.00 60.00°
Element x y z (fractional)
Sn 0.0000 0.0000 0.0000
Se 0.2500 0.2500 0.2500
Se 0.7500 0.7500 0.7500
O 0.5000 0.5000 0.5000

Values from the calculation:
total moment	0.000	μB/atom
theoretical density	6.7	g cm⁻³

Unit: eV/atom. Relative energies: #one 0.023; #two 0.000.

#one
First-principles (PBE) data for a relaxed structure of SnSe2O, as listed in the Alexandria database.

Cell: 7.6366 7.6366 7.6366 Å, 138.64 138.64 59.92°
Element x y z (fractional)
Sn 0.0000 0.0000 0.0000
Sn 0.7500 0.2500 0.5000
Se 0.2625 0.6250 0.1375
Se 0.3750 0.5125 0.6375
Se 0.4875 0.1250 0.8625
Se 0.8750 0.7375 0.3625
O 0.2500 0.7500 0.5000
O 0.5000 0.5000 0.0000

Values from the calculation:
total moment	0.000	μB/atom
theoretical density	5.0	g cm⁻³

#two
First-principles (PBE) data for a relaxed structure of SnSe2O, as listed in the Alexandria database.

Cell: 7.4550 7.4550 7.4550 Å, 31.64 31.64 31.64°
Element x y z (fractional)
Sn 0.0000 0.0000 0.0000
Se 0.4097 0.4097 0.4097
Se 0.5903 0.5903 0.5903
O 0.5000 0.5000 0.5000

Values from the calculation:
total moment	0.000	μB/atom
theoretical density	4.8	g cm⁻³

Unit: eV/atom. Relative energies: #one 0.184; #two 0.000.

#one
First-principles (PBE) data for a relaxed structure of Sr2Se2O, as listed in the Alexandria database.

Cell: 5.7380 5.7380 5.7380 Å, 119.22 119.22 91.35°
Element x y z (fractional)
Sr 0.2500 0.7500 0.5000
Sr 0.7500 0.2500 0.5000
Se 0.1629 0.1629 0.0000
Se 0.8371 0.8371 0.0000
O 0.5000 0.5000 0.0000

Values from the calculation:
total moment	0.000	μB/atom
theoretical density	4.3	g cm⁻³

#two
First-principles (PBE) data for a relaxed structure of Sr2Se2O, as listed in the Alexandria database.

Cell: 8.1940 8.1940 4.0424 Å, 90.00 90.00 90.00°
Element x y z (fractional)
Sr 0.1604 0.3396 0.0000
Sr 0.3396 0.8396 0.0000
Sr 0.6604 0.1604 0.0000
Sr 0.8396 0.6604 0.0000
Se 0.1468 0.6468 0.5000
Se 0.3532 0.1468 0.5000
Se 0.6468 0.8532 0.5000
Se 0.8532 0.3532 0.5000
O 0.0000 0.0000 0.5000
O 0.5000 0.5000 0.5000

Values from the calculation:
total moment	0.400	μB/atom
theoretical density	4.3	g cm⁻³

Unit: eV/atom. Relative energies: #one 0.000; #two 0.074.

#one
First-principles (PBE) data for a relaxed structure of Sr2SeO, as listed in the Alexandria database.

Cell: 6.5749 6.5749 6.5749 Å, 114.85 114.85 99.18°
Element x y z (fractional)
Sr 0.0527 0.6250 0.9277
Sr 0.3750 0.3027 0.4277
Sr 0.6973 0.1250 0.0723
Sr 0.8750 0.9473 0.5723
Se 0.2500 0.7500 0.5000
Se 0.5000 0.5000 0.0000
O 0.0000 0.0000 0.0000
O 0.7500 0.2500 0.5000

Values from the calculation:
total moment	0.000	μB/atom
theoretical density	4.2	g cm⁻³

#two
First-principles (PBE) data for a relaxed structure of Sr2SeO, as listed in the Alexandria database.

Cell: 7.5989 7.9906 6.8541 Å, 90.00 105.06 90.00°
Element x y z (fractional)
Sr 0.0606 0.1205 0.2326
Sr 0.0606 0.3795 0.7326
Sr 0.3681 0.7503 0.4679
Sr 0.3681 0.7497 0.9679
Sr 0.6319 0.2503 0.0321
Sr 0.6319 0.2497 0.5321
Sr 0.9394 0.6205 0.2674
Sr 0.9394 0.8795 0.7674
Se 0.3156 0.0810 0.6915
Se 0.3156 0.4190 0.1915
Se 0.6844 0.5810 0.8085
Se 0.6844 0.9190 0.3085
O 0.1383 0.6656 0.6405
O 0.1383 0.8344 0.1405
O 0.8617 0.1656 0.8595
O 0.8617 0.3344 0.3595

Values from the calculation:
total moment	0.000	μB/atom
theoretical density	4.5	g cm⁻³

#three
First-principles (PBE) data for a relaxed structure of Sr2SeO, as listed in the Alexandria database.

Cell: 7.5021 7.5021 7.5021 Å, 30.44 30.44 30.44°
Element x y z (fractional)
Sr 0.0000 0.0000 0.0000
Sr 0.1467 0.1467 0.1467
Se 0.5732 0.5732 0.5732
O 0.4045 0.4045 0.4045

Values from the calculation:
total moment	0.000	μB/atom
theoretical density	4.7	g cm⁻³

Unit: eV/atom. Relative energies: #one 0.081; #two 0.000; #three 0.232.